MgBiOF2 after structural relaxation, computed with GGA-PBE.

Summary:
Its uncorrected formation energy is -1.3902 eV per atom.

a = 4.632 Å, b = 4.632 Å, c = 4.534 Å
α = 90.00°, β = 90.00°, γ = 90.00°
Space group P4/mmm (No. 123)
Asymmetric unit:
Mg: 0.000 0.000 0.000
Bi: 0.500 0.500 0.500
O: 0.500 0.500 0.000
F: 0.000 0.500 0.500